## w
Density functional theory data (PBE) for an optimized crystal structure of Sm4Dy3Er2.

```
Sm4Dy3Er2
1.0
8.4280 -4.8922 0.0000
8.4280 4.8922 0.0000
-0.0033 0.0000 7.0318
Sm Dy Er
8 6 4
direct
0.1511 0.8208 0.0003
0.1777 0.4773 0.0001
0.1792 0.8489 0.4997
0.4773 0.1777 0.5001
0.5227 0.8223 0.4999
0.8208 0.1511 0.5003
0.8223 0.5227 0.9999
0.8489 0.1792 0.9997
0.1701 0.1705 0.2500
0.1705 0.1701 0.7500
0.5005 0.4995 0.2500
0.4995 0.5005 0.7500
0.8295 0.8299 0.2500
0.8299 0.8295 0.7500
0.1546 0.5242 0.4997
0.4758 0.8454 0.0003
0.5242 0.1546 0.9997
0.8454 0.4758 0.5003
```

## x
Density functional theory data (PBE) for an optimized crystal structure of Sm4Dy3Er2.

```
Sm4Dy3Er2
1.0
5.9064 -1.7877 0.0000
5.9064 1.7877 0.0000
-5.3970 0.0000 13.6948
Sm Dy Er
4 3 2
direct
0.1664 0.1664 0.1663
0.2785 0.2785 0.6115
0.7215 0.7215 0.3885
0.8336 0.8336 0.8337
0.3883 0.3883 0.0558
0.5000 0.5000 0.5000
0.6117 0.6117 0.9442
0.0563 0.0563 0.7227
0.9437 0.9437 0.2773
```

x is favored, and the nearest alternative lies 39 meV/atom above it.